# CaZnSi, optimized geometry, DFT PBE
# D(E_F) = 1.5 states/eV per cell
# Theoretical density = 3.4 g/cm³
# Raw total energy = -3.31 eV/atom
data_CaZnSi
_chemical_formula_sum 'Ca1 Zn1 Si1'
_cell_length_a 4.1658
_cell_length_b 4.1658
_cell_length_c 4.3406
_cell_angle_alpha 90.00
_cell_angle_beta 90.00
_cell_angle_gamma 120.00
_space_group_name_H-M_alt 'P -6 m 2'
_space_group_IT_number 187
_space_group_name_Hall 'P -6 2'
loop_
_atom_site_label
_atom_site_type_symbol
_atom_site_fract_x
_atom_site_fract_y
_atom_site_fract_z
_atom_site_occupancy
Ca1 Ca 0.0000 0.0000 0.0000 1
Zn1 Zn 0.3333 0.6667 0.5000 1
Si1 Si 0.6667 0.3333 0.5000 1